K2ScCoCu | GGA-PBE | optimized geometry

abc: 6.1790 6.1790 4.5225
angles: 90.00 90.00 90.00
With the nearest neighbours (Å) after each atom.
Element x y z (fractional)
K 0.0000 0.5000 0.0000  2 Co 3.09
K 0.5000 0.0000 0.0000  2 Co 3.09
Sc 0.0000 0.0000 0.5000  2 Co 2.26
Co 0.0000 0.0000 0.0000  2 Sc 2.26
Cu 0.5000 0.5000 0.5000  8 K 3.83

total energy = -15.38 eV per cell
symmetry = P4/mmm (123)
total magnetic moment = 0.000 μB per atom